VASP calculation (PBE+U) on YCoF2 after structural relaxation.

Computed properties:
Raw total energy (eV/atom): -5.2494
Excess energy over the best structure of this formula in the dataset (meV per atom): 300.7
V (Å³/cell): 58.3

a = 4.3526 Å, b = 4.3526 Å, c = 4.3526 Å
α = 60.00°, β = 60.00°, γ = 60.00°
Closest atoms and distances in Å follow each position.
Element x y z (fractional)
Y: 0.5000 0.5000 0.5000  8 F 2.67
Co: 0.0000 0.0000 0.0000  8 F 2.67
F: 0.2500 0.2500 0.2500  4 Co 2.67, 4 Y 2.67
F: 0.7500 0.7500 0.7500  4 Co 2.67, 4 Y 2.67